First-principles (PBE) data for a relaxed structure of Cu9Se8, as listed in Alexandria.

Properties
Symmetry ... P1
E_tot ... -3.933 eV/atom
Density of states at the Fermi level ... 13.20 states/eV/cell

Structure (POSCAR):
```
Cu9Se8
1.0
3.911 0.008 -0.148
-1.946 3.388 0.285
-0.942 -0.532 25.661
Cu Se
9 8
direct
0.305 0.667 0.030
0.378 0.614 0.221
0.238 0.740 0.836
0.495 0.505 0.591
0.755 0.244 0.348
0.864 0.120 0.713
0.694 0.292 0.156
0.128 0.880 0.469
0.615 0.360 0.956
0.838 0.161 0.620
0.098 0.901 0.376
0.723 0.269 0.253
0.349 0.637 0.123
0.581 0.397 0.864
0.961 0.013 0.994
0.207 0.777 0.742
0.471 0.536 0.498
```